A geometry-optimized TaPWO2 structure, computed with PBE+U.

a = 3.8943 Å, b = 3.8943 Å, c = 5.3935 Å
α = 90.00°, β = 90.00°, γ = 90.00°
With the nearest neighbours (Å) after each atom.
Space group P4/mmm (No. 123)
Unique sites:
Ta 0.0000 0.0000 0.0000 [1 per cell]  4 O 1.95
P 0.0000 0.0000 0.5000 [1 per cell]  2 Ta 2.70, 4 W 2.75
W 0.5000 0.5000 0.5000 [1 per cell]  4 P 2.75
O 0.0000 0.5000 0.0000 [2 per cell]  2 Ta 1.95

## Properties
Offset from the most stable computed form in meV/atom: 0
D(E_F) in states/eV per cell: 0.29